No. 1
Nd2S3 | PBE-GGA | relaxed

a b c (Å): 11.046 4.039 10.736
angles (deg): 90.00 90.00 90.00
Atoms (fractional coordinates):
Nd  0.009  0.250  0.186
Nd  0.192  0.250  0.505
Nd  0.308  0.750  0.005
Nd  0.491  0.750  0.686
Nd  0.509  0.250  0.314
Nd  0.692  0.250  0.995
Nd  0.808  0.750  0.495
Nd  0.991  0.750  0.814
S  0.046  0.750  0.374
S  0.121  0.250  0.945
S  0.230  0.750  0.699
S  0.270  0.250  0.199
S  0.379  0.750  0.445
S  0.454  0.250  0.874
S  0.546  0.750  0.126
S  0.621  0.250  0.555
S  0.730  0.750  0.801
S  0.770  0.250  0.301
S  0.879  0.750  0.055
S  0.954  0.250  0.626

Summary:
The value obtained for the total energy is -129.0 eV per cell. The value obtained for the spin magnetization is 0.00 μB per formula unit.

=====

No. 2
Nd4S3 | PBE-GGA | relaxed

a b c (Å): 13.416 13.416 13.416
angles (deg): 17.25 17.25 17.25
Atoms (fractional coordinates):
Nd  0.122  0.122  0.122
Nd  0.373  0.373  0.373
Nd  0.627  0.627  0.627
Nd  0.878  0.878  0.878
S  0.252  0.252  0.252
S  0.500  0.500  0.500
S  0.748  0.748  0.748

Summary:
The value obtained for the total energy is -43.3 eV per cell. Its density of states at the Fermi level is 0.52 states/eV per atom. The value obtained for the spin magnetization is 0.00 μB per formula unit.

=====

No. 3
NdS8 | PBE-GGA | relaxed

a b c (Å): 7.858 7.858 7.858
angles (deg): 94.79 94.79 146.40
Atoms (fractional coordinates):
Nd  0.000  0.000  0.000
S  0.000  0.405  0.405
S  0.000  0.595  0.595
S  0.384  0.384  0.767
S  0.384  0.616  0.000
S  0.405  0.000  0.405
S  0.595  0.000  0.595
S  0.616  0.384  0.000
S  0.616  0.616  0.233

Summary:
The value obtained for the total energy is -36.1 eV per cell. Its density of states at the Fermi level is 1.23 states/eV per atom. The value obtained for the spin magnetization is 0.69 μB per formula unit.

=====

No. 4
NdS4 | PBE-GGA | relaxed

a b c (Å): 6.570 6.570 4.924
angles (deg): 90.00 90.00 90.00
Atoms (fractional coordinates):
Nd  0.000  0.000  0.000
Nd  0.500  0.500  0.500
S  0.005  0.749  0.500
S  0.249  0.495  0.000
S  0.251  0.005  0.500
S  0.495  0.751  0.000
S  0.505  0.249  0.000
S  0.749  0.995  0.500
S  0.751  0.505  0.000
S  0.995  0.251  0.500

Summary:
The energy relative to the lowest polymorph listed for this composition is 0.00 eV per formula unit. Its density of states at the Fermi level is 0.81 states/eV per atom. The value obtained for the spin magnetization is 0.00 μB per formula unit.